TiAlAsBr2, relaxed, DFT PBE; offset from the most stable computed form = 489.6 meV/atom; ΔE_f (raw) = 0.29 eV per atom; density = 4.2 Mg/m³; crystal system = tetragonal
1.0
4.915 0.000 0.000
0.000 4.915 0.000
0.000 0.000 5.120
Ti Al As Br
1 1 1 2
direct
0.000 0.000 0.000
0.500 0.500 0.500
0.500 0.500 0.000
0.000 0.500 0.500
0.500 0.000 0.500